Density functional theory data (GGA-PBE) for a relaxed CsLi3Rh crystal.

energy above the most stable polymorph in this dataset	0.0000	eV per atom
raw total energy	-2.5866	eV per atom
size of the total moment	0.0	μB/f.u.
formation energy from the elements	0.203	eV per atom
DOS(E_F)	2.915	states/eV/f.u.

Cell lengths 5.064, 5.064, 5.064 Å; angles 90.00, 90.00, 90.00 degrees
Positions (direct):
1 Li 0.500 0.000 0.000
2 Rh 0.000 0.000 0.000
3 Li 0.000 0.500 0.000
4 Li 0.000 0.000 0.500
5 Cs 0.500 0.500 0.500

---

Density functional theory data (GGA-PBE) for a relaxed CsLi2Rh crystal.

raw total energy	-2.5158	eV per atom
size of the total moment	0.0	μB/f.u.
formation energy from the elements	0.492	eV per atom
DOS(E_F)	0.000	states/eV/f.u.

Cell lengths 5.002, 5.002, 5.002 Å; angles 60.00, 60.00, 60.00 degrees
Positions (direct):
1 Li 0.750 0.750 0.750
2 Li 0.250 0.250 0.250
3 Rh 0.000 0.000 0.000
4 Cs 0.500 0.500 0.500

---

Density functional theory data (GGA-PBE) for a relaxed CsLiTl2Rh crystal.

raw total energy	-3.0349	eV per atom
size of the total moment	0.0	μB/f.u.
formation energy from the elements	-0.065	eV per atom
DOS(E_F)	2.404	states/eV/f.u.

Cell lengths 5.359, 5.359, 5.358 Å; angles 90.00, 90.00, 90.00 degrees
Positions (direct):
1 Rh 0.000 0.000 0.000
2 Cs 0.500 0.500 0.500
3 Tl 0.500 0.000 0.000
4 Tl 0.000 0.500 0.000
5 Li 0.000 0.000 0.500

---

Density functional theory data (GGA-PBE) for a relaxed CsLi2TlRh crystal.

raw total energy	-2.8342	eV per atom
size of the total moment	0.0	μB/f.u.
formation energy from the elements	0.046	eV per atom
DOS(E_F)	2.604	states/eV/f.u.

Cell lengths 5.232, 5.232, 5.302 Å; angles 90.00, 90.00, 90.00 degrees
Positions (direct):
1 Li 0.000 0.500 0.000
2 Cs 0.500 0.500 0.500
3 Li 0.500 0.000 0.000
4 Rh 0.000 0.000 0.000
5 Tl 0.000 0.000 0.500

---

Density functional theory data (GGA-PBE) for a relaxed CsLi2VRh crystal.

raw total energy	-2.7256	eV per atom
size of the total moment	3.7	μB/f.u.
formation energy from the elements	1.505	eV per atom
DOS(E_F)	5.780	states/eV/f.u.

Cell lengths 4.963, 5.091, 4.963 Å; angles 90.00, 90.00, 90.00 degrees
Positions (direct):
1 Rh 0.000 0.500 0.000
2 V 0.500 0.500 0.500
3 Li 0.500 0.000 0.000
4 Li 0.000 0.000 0.500
5 Cs 0.000 0.000 0.000

---

Density functional theory data (GGA-PBE) for a relaxed CsLiRh2W crystal.

raw total energy	-5.2175	eV per atom
size of the total moment	0.0	μB/f.u.
formation energy from the elements	0.867	eV per atom
DOS(E_F)	4.168	states/eV/f.u.

Cell lengths 4.768, 5.579, 4.768 Å; angles 90.00, 90.00, 90.00 degrees
Positions (direct):
1 Rh 0.500 0.000 0.000
2 Rh 0.000 0.000 0.500
3 Cs 0.500 0.500 0.500
4 W 0.000 0.000 0.000
5 Li 0.000 0.500 0.000

---

Density functional theory data (GGA-PBE) for a relaxed CsLiRu3 crystal.

energy above the most stable polymorph in this dataset	0.0000	eV per atom
raw total energy	-4.2679	eV per atom
size of the total moment	4.9	μB/f.u.
formation energy from the elements	1.851	eV per atom
DOS(E_F)	7.351	states/eV/f.u.

Cell lengths 4.562, 4.562, 4.562 Å; angles 90.00, 90.00, 90.00 degrees
Positions (direct):
1 Ru 0.000 0.500 0.000
2 Ru 0.000 0.000 0.500
3 Cs 0.500 0.500 0.500
4 Ru 0.500 0.000 0.000
5 Li 0.000 0.000 0.000

---

Density functional theory data (GGA-PBE) for a relaxed Cs2LiRu crystal.

energy above the most stable polymorph in this dataset	0.2775	eV per atom
raw total energy	-2.0238	eV per atom
size of the total moment	1.0	μB/f.u.
formation energy from the elements	1.200	eV per atom
DOS(E_F)	4.508	states/eV/f.u.

Cell lengths 6.063, 6.063, 6.063 Å; angles 60.00, 60.00, 60.00 degrees
Positions (direct):
1 Ru 0.500 0.500 0.500
2 Li 0.000 0.000 0.000
3 Cs 0.250 0.250 0.250
4 Cs 0.750 0.750 0.750

---

Density functional theory data (GGA-PBE) for a relaxed Cs2LiRu crystal.

energy above the most stable polymorph in this dataset	0.0000	eV per atom
raw total energy	-2.3013	eV per atom
size of the total moment	0.0	μB/f.u.
formation energy from the elements	0.923	eV per atom
DOS(E_F)	3.295	states/eV/f.u.

Cell lengths 11.821, 11.821, 8.725 Å; angles 47.35, 47.35, 90.00 degrees
Positions (direct):
1 Cs 0.375 0.131 0.750
2 Ru 0.000 0.000 0.000
3 Li 0.500 0.500 0.000
4 Li 0.250 0.750 0.500
5 Cs 0.869 0.125 0.250
6 Cs 0.875 0.119 0.750
7 Ru 0.750 0.250 0.500
8 Cs 0.881 0.625 0.250

---

Density functional theory data (GGA-PBE) for a relaxed Cs3LiRu crystal.

energy above the most stable polymorph in this dataset	0.0000	eV per atom
raw total energy	-1.8595	eV per atom
size of the total moment	0.0	μB/f.u.
formation energy from the elements	0.891	eV per atom
DOS(E_F)	3.647	states/eV/f.u.

Cell lengths 6.193, 6.193, 6.193 Å; angles 90.00, 90.00, 90.00 degrees
Positions (direct):
1 Cs 0.000 0.500 0.000
2 Cs 0.000 0.000 0.500
3 Cs 0.500 0.000 0.000
4 Ru 0.000 0.000 0.000
5 Li 0.500 0.500 0.500

---

Density functional theory data (GGA-PBE) for a relaxed CsLiRu3 crystal.

energy above the most stable polymorph in this dataset	0.7487	eV per atom
raw total energy	-3.5193	eV per atom
size of the total moment	4.0	μB/f.u.
formation energy from the elements	2.600	eV per atom
DOS(E_F)	10.507	states/eV/f.u.

Cell lengths 4.969, 4.969, 4.969 Å; angles 90.00, 90.00, 90.00 degrees
Positions (direct):
1 Li 0.500 0.500 0.500
2 Ru 0.000 0.000 0.500
3 Cs 0.000 0.000 0.000
4 Ru 0.000 0.500 0.000
5 Ru 0.500 0.000 0.000

---

Density functional theory data (GGA-PBE) for a relaxed CsLi2SbRu crystal.

raw total energy	-3.5542	eV per atom
size of the total moment	0.0	μB/f.u.
ΔE_f (raw)	62	meV per atom
DOS(E_F)	2.017	states/eV/f.u.

Cell lengths 5.318, 5.008, 5.318 Å; angles 90.00, 90.00, 90.00 degrees
Positions (direct):
1 Sb 0.000 0.500 0.000
2 Li 0.500 0.000 0.000
3 Cs 0.500 0.500 0.500
4 Li 0.000 0.000 0.500
5 Ru 0.000 0.000 0.000